6
Lattice="5.2444 0.0000 0.0000 0.0000 5.5258 0.0000 -2.6222 0.0000 5.5889" Properties=species:S:1:pos:R:3 comment="MgTe5, relaxed, DFT GGA-PBEsol" space_group=Cmmm magmom_total_mub_per_atom=0.000 vol_a3_per_cell=162.0 e_form_raw_ev_per_fu=-0.008 pbc="T T T"
Mg 2.6222 0.0000 0.0000
Te 0.0000 2.7629 3.6952
Te 0.0000 0.0000 1.5295
Te 0.0000 2.7629 0.0000
Te 2.6222 0.0000 4.0594
Te 2.6222 2.7629 1.8937


8
Lattice="-6.4557 -1.7660 -0.4195 -2.9117 -3.2915 5.0654 -4.5742 3.0833 3.8132" Properties=species:S:1:pos:R:3 comment="MgTe7, relaxed, DFT GGA-PBEsol" space_group=Fm-3m magmom_total_mub_per_atom=0.000 vol_a3_per_cell=213.2 e_form_raw_ev_per_fu=1.580 pbc="T T T"
Mg 0.0000 0.0000 0.0000
Te -2.2871 1.5416 1.9066
Te -1.4559 -1.6458 2.5327
Te -3.2278 -0.8830 -0.2097
Te -4.6837 -2.5288 2.3230
Te -5.5150 0.6586 1.6968
Te -3.7430 -0.1041 4.4393
Te -6.9708 -0.9871 4.2295


7
Lattice="6.0671 0.0000 0.0000 0.0000 6.0671 0.0000 0.0000 0.0000 6.0671" Properties=species:S:1:pos:R:3 comment="Mg4Te3, relaxed, DFT GGA-PBEsol" space_group=P-43m magmom_total_mub_per_atom=0.000 vol_a3_per_cell=223.3 e_form_raw_ev_per_fu=-3.372 pbc="T T T"
Mg 1.3017 4.7654 1.3017
Mg 4.7654 1.3017 1.3017
Mg 4.7654 4.7654 4.7654
Mg 1.3017 1.3017 4.7654
Te 3.0335 0.0000 3.0335
Te 3.0335 3.0335 0.0000
Te 0.0000 3.0335 3.0335


6
Lattice="-0.3180 1.6039 4.2024 2.3135 -3.7873 -0.7987 9.1670 5.9309 -1.5699" Properties=species:S:1:pos:R:3 comment="MgTe2, relaxed, DFT GGA-PBEsol" space_group=P6_3/mmc magmom_total_mub_per_atom=0.000 vol_a3_per_cell=194.2 e_form_raw_ev_per_fu=-1.334 pbc="T T T"
Mg 0.0000 0.0000 0.0000
Mg 4.5835 2.9654 -0.7849
Te 1.6931 0.5405 2.3412
Te 7.1538 1.7089 -0.1108
Te 4.0087 2.0387 1.9446
Te 9.4694 3.2070 -0.5074


3
Lattice="4.2885 0.0000 0.0000 -2.1442 3.7139 0.0000 0.0000 0.0000 6.0484" Properties=species:S:1:pos:R:3 comment="MgTe2, relaxed, DFT GGA-PBEsol" space_group=P-6m2 magmom_total_mub_per_atom=0.000 vol_a3_per_cell=96.3 e_form_raw_ev_per_fu=-1.172 pbc="T T T"
Mg 0.0000 0.0000 3.0242
Te 0.0000 2.4759 1.4592
Te 0.0000 2.4759 4.5892


4
Lattice="-1.6545 -3.2719 1.1506 -0.3292 -1.5266 -4.8143 5.4408 0.2789 2.1999" Properties=species:S:1:pos:R:3 comment="Mg3Te, relaxed, DFT GGA-PBEsol" de_polymorph_ev_per_fu=0.05 space_group=Imm2 magmom_total_mub_per_atom=0.000 vol_a3_per_cell=96.1 e_form_raw_ev_per_fu=-0.788 pbc="T T T"
Mg 1.1254 -3.3631 -1.5282
Mg 2.3493 -1.0745 0.3229
Mg -1.1180 -2.9838 -3.6753
Te -0.1111 -0.5151 -1.6246


12
Lattice="7.0031 0.0000 0.0000 0.0000 7.0031 0.0000 0.0000 0.0000 7.0031" Properties=species:S:1:pos:R:3 comment="MgTe2, relaxed, DFT GGA-PBEsol" space_group=Pa-3 magmom_total_mub_per_atom=0.000 vol_a3_per_cell=343.5 e_form_raw_ev_per_fu=-1.716 pbc="T T T"
Mg 0.0000 0.0000 0.0000
Mg 3.5015 0.0000 3.5015
Mg 0.0000 3.5015 3.5015
Mg 3.5015 3.5015 0.0000
Te 2.7022 2.7022 2.7022
Te 0.7993 4.3009 6.2038
Te 4.3009 6.2038 0.7993
Te 6.2038 0.7993 4.3009
Te 4.3009 4.3009 4.3009
Te 6.2038 2.7022 0.7993
Te 2.7022 0.7993 6.2038
Te 0.7993 6.2038 2.7022


6
Lattice="4.4024 0.0000 0.0000 0.0000 5.7419 0.0000 0.0000 0.0000 7.0375" Properties=species:S:1:pos:R:3 comment="MgTe2, relaxed, DFT GGA-PBEsol" space_group=Pnnm magmom_total_mub_per_atom=0.000 vol_a3_per_cell=177.9 e_form_raw_ev_per_fu=-1.572 pbc="T T T"
Mg 0.0000 0.0000 0.0000
Mg 2.2012 2.8709 3.5187
Te 0.0000 1.1103 4.3462
Te 0.0000 4.6315 2.6912
Te 2.2012 3.9812 6.2100
Te 2.2012 1.7606 0.8275


4
Lattice="-1.2050 3.4297 1.2091 -4.6610 -1.7300 0.2619 2.7416 -2.6012 4.0413" Properties=species:S:1:pos:R:3 comment="Mg3Te, relaxed, DFT GGA-PBEsol" de_polymorph_ev_per_fu=0.05 space_group=C2/m magmom_total_mub_per_atom=0.000 vol_a3_per_cell=95.1 e_form_raw_ev_per_fu=-0.785 pbc="T T T"
Mg -2.9330 0.8499 0.7355
Mg -0.7403 0.8563 2.9026
Mg -2.3842 -1.7577 2.6097
Te 0.0000 0.0000 0.0000


8
Lattice="-0.0071 -1.3531 -4.1396 -1.0949 -4.0061 1.3113 -9.1520 5.0802 0.6461" Properties=species:S:1:pos:R:3 comment="Mg3Te, relaxed, DFT GGA-PBEsol" de_polymorph_ev_per_fu=0.00 space_group=I4/mmm magmom_total_mub_per_atom=0.000 vol_a3_per_cell=190.1 e_form_raw_ev_per_fu=-0.833 pbc="T T T"
Mg -0.5475 -2.0031 0.6557
Mg -0.0035 -0.6766 -2.0698
Mg -4.8550 0.5237 -2.4538
Mg -5.3989 -0.8028 0.2716
Mg -7.7200 -0.9060 -1.9816
Mg -2.5340 0.6269 -0.2006
Te -2.6741 -2.1544 -1.5822
Te -7.5799 1.8753 -0.6000


6
Lattice="3.1176 0.0000 0.0000 0.0000 7.6825 0.0000 0.0000 0.0000 7.6825" Properties=species:S:1:pos:R:3 comment="MgTe2, relaxed, DFT GGA-PBEsol" space_group=P4_2/mnm magmom_total_mub_per_atom=0.000 vol_a3_per_cell=184.0 e_form_raw_ev_per_fu=-0.642 pbc="T T T"
Mg 0.0000 3.8412 3.8412
Mg 1.5588 0.0000 0.0000
Te 0.0000 5.9890 5.9890
Te 0.0000 1.6935 1.6935
Te 1.5588 5.5347 2.1478
Te 1.5588 2.1478 5.5347


3
Lattice="3.9053 0.0000 0.0000 0.0000 3.9053 0.0000 -1.9527 -1.9527 5.1659" Properties=species:S:1:pos:R:3 comment="MgTe2, relaxed, DFT GGA-PBEsol" space_group=I4/mmm magmom_total_mub_per_atom=0.000 vol_a3_per_cell=78.8 e_form_raw_ev_per_fu=-0.769 pbc="T T T"
Mg 1.9527 1.9527 0.0000
Te 0.0000 0.0000 1.4671
Te 1.9527 1.9527 3.6988


6
Lattice="-0.6160 -4.7209 -2.1514 -1.5809 -2.0419 4.9334 -3.7984 2.0885 -3.4954" Properties=species:S:1:pos:R:3 comment="Mg5Te, relaxed, DFT GGA-PBEsol" de_polymorph_ev_per_fu=0.43 space_group=P-62m magmom_total_mub_per_atom=0.000 vol_a3_per_cell=140.3 e_form_raw_ev_per_fu=-0.299 pbc="T T T"
Mg -1.8141 0.0157 0.4849
Mg -1.0478 -1.3533 3.2697
Mg -2.5175 1.3842 -2.3166
Mg -3.3672 -1.6488 -1.7615
Mg -2.6281 -3.0256 1.0481
Te -0.3080 -2.3605 -1.0757


8
Lattice="5.3341 0.0000 0.0000 0.0000 6.4007 0.0000 0.0000 -3.2004 5.5432" Properties=species:S:1:pos:R:3 comment="Mg3Te, relaxed, DFT GGA-PBEsol" de_polymorph_ev_per_fu=0.23 space_group=P6_3/mmc magmom_total_mub_per_atom=0.000 vol_a3_per_cell=189.3 e_form_raw_ev_per_fu=-0.608 pbc="T T T"
Mg 4.0006 -1.6394 4.6420
Mg 4.0006 1.6394 4.6420
Mg 4.0006 0.0000 1.8025
Mg 1.3335 4.8397 0.9012
Mg 1.3335 1.5610 0.9012
Mg 1.3335 3.2004 3.7407
Te 4.0006 3.2004 1.8477
Te 1.3335 0.0000 3.6955


3
Lattice="3.5182 0.0000 0.0000 1.7591 3.0469 0.0000 1.7591 1.0156 7.8043" Properties=species:S:1:pos:R:3 comment="MgTe2, relaxed, DFT GGA-PBEsol" space_group=R-3m magmom_total_mub_per_atom=0.000 vol_a3_per_cell=83.7 e_form_raw_ev_per_fu=-0.935 pbc="T T T"
Mg 0.0000 0.0000 0.0000
Te 1.7591 1.0156 2.0901
Te 5.2773 3.0469 5.7142


6
Lattice="-2.7967 -4.2173 -0.8593 4.8770 -2.9954 -1.1716 -2.0391 0.2378 5.4695" Properties=species:S:1:pos:R:3 comment="Mg5Te, relaxed, DFT GGA-PBEsol" de_polymorph_ev_per_fu=1.39 space_group=P6/mmm magmom_total_mub_per_atom=0.000 vol_a3_per_cell=151.7 e_form_raw_ev_per_fu=0.661 pbc="T T T"
Mg 2.5716 -1.9177 1.0421
Mg 0.2663 -0.8399 3.2558
Mg 0.0206 -3.4875 1.7193
Mg -2.4179 -1.9898 2.3051
Mg 1.0401 -3.6064 -1.0155
Te 0.0000 0.0000 0.0000


5
Lattice="-3.4820 -1.9754 1.2887 0.3374 -2.6915 -3.2140 6.0750 -2.5999 5.5667" Properties=species:S:1:pos:R:3 comment="Mg2Tl2Te, relaxed, DFT GGA-PBEsol" space_group=I4/mmm magmom_total_mub_per_atom=0.000 vol_a3_per_cell=143.5 e_form_raw_ev_per_fu=0.306 pbc="T T T"
Tl 3.6253 -3.9721 3.7069
Tl -0.6949 -3.2947 -0.0656
Te 0.0000 0.0000 0.0000
Mg 2.4200 -3.8124 0.6950
Mg 0.5103 -3.4544 2.9463


4
Lattice="-2.7264 0.8055 3.5940 0.5279 -2.4095 3.8619 1.6889 2.0220 3.7494" Properties=species:S:1:pos:R:3 comment="MgTeW2, relaxed, DFT GGA-PBEsol" de_polymorph_ev_per_fu=1.43 space_group=Fm-3m magmom_total_mub_per_atom=0.001 vol_a3_per_cell=68.0 e_form_raw_ev_per_fu=3.789 pbc="T T T"
Mg 0.0000 0.0000 0.0000
Te -0.2548 0.2090 5.6027
W -0.3822 0.3135 8.4040
W -0.1274 0.1045 2.8013


4
Lattice="3.1724 0.0000 0.0000 0.0000 4.6771 -0.0034 -1.5862 -0.6656 4.7517" Properties=species:S:1:pos:R:3 comment="MgTeW2, relaxed, DFT GGA-PBEsol" de_polymorph_ev_per_fu=0.00 space_group=C2/m magmom_total_mub_per_atom=0.000 vol_a3_per_cell=70.5 e_form_raw_ev_per_fu=2.355 pbc="T T T"
Mg 1.5862 0.0000 0.0000
Te 0.0000 2.3386 -0.0017
W 0.0000 0.7970 2.3956
W 1.5862 3.2146 2.3527


4
Lattice="3.0653 -0.0063 0.0000 -1.1392 2.8458 0.0000 0.0000 0.0000 9.5442" Properties=species:S:1:pos:R:3 comment="Mg2TeW, relaxed, DFT GGA-PBEsol" space_group=Cmm2 magmom_total_mub_per_atom=0.000 vol_a3_per_cell=83.2 e_form_raw_ev_per_fu=2.005 pbc="T T T"
Mg 0.0000 0.0000 0.1905
Mg 0.9630 1.4197 7.2346
Te 0.0000 0.0000 4.4963
W 0.9630 1.4197 2.3950


4
Lattice="2.8402 0.0040 0.0000 -0.9850 2.6639 0.0000 0.0000 0.0000 9.6106" Properties=species:S:1:pos:R:3 comment="MgTeW2, relaxed, DFT GGA-PBEsol" de_polymorph_ev_per_fu=1.53 space_group=Cmmm magmom_total_mub_per_atom=0.000 vol_a3_per_cell=72.8 e_form_raw_ev_per_fu=3.884 pbc="T T T"
Mg 0.9276 1.3340 4.8053
Te 0.9276 1.3340 0.0000
W 0.0000 0.0000 2.4535
W 0.0000 0.0000 7.1571


4
Lattice="3.9965 0.0000 0.0000 0.0000 3.9965 0.0000 -1.9983 -1.9983 4.7108" Properties=species:S:1:pos:R:3 comment="Mg2TeW, relaxed, DFT GGA-PBEsol" space_group=I4/mmm magmom_total_mub_per_atom=0.086 vol_a3_per_cell=75.2 e_form_raw_ev_per_fu=1.969 pbc="T T T"
Mg 1.9983 0.0000 2.3554
Mg 0.0000 1.9983 2.3554
Te 1.9983 1.9983 0.0000
W 0.0000 0.0000 0.0000


4
Lattice="-2.8229 -0.8276 2.5392 0.4674 -3.7908 -0.7159 3.1630 -0.2582 3.4323" Properties=species:S:1:pos:R:3 comment="MgTeW2, relaxed, DFT GGA-PBEsol" de_polymorph_ev_per_fu=0.73 space_group=P4/mmm magmom_total_mub_per_atom=0.000 vol_a3_per_cell=70.6 e_form_raw_ev_per_fu=3.089 pbc="T T T"
Mg 0.4038 -2.4383 2.6278
Te 1.5815 -0.1291 1.7162
W 0.2337 -1.8954 -0.3580
W -1.4115 -0.4138 1.2696


5
Lattice="-1.9558 3.8777 3.1080 -1.5555 -3.6499 3.5749 4.7198 0.4039 2.4661" Properties=species:S:1:pos:R:3 comment="YMgTe3, relaxed, DFT GGA-PBEsol" space_group=Pm-3m magmom_total_mub_per_atom=0.000 vol_a3_per_cell=152.3 e_form_raw_ev_per_fu=-1.388 pbc="T T T"
Y 0.6042 0.3159 4.5745
Mg 0.0000 0.0000 0.0000
Te -0.7778 -1.8249 1.7874
Te 2.3599 0.2020 1.2331
Te -0.9779 1.9388 1.5540


6
Lattice="-0.3400 6.2733 -0.0328 -3.8570 2.9160 -4.0114 -5.1611 2.8774 2.1342" Properties=species:S:1:pos:R:3 comment="YMgTe4, relaxed, DFT GGA-PBEsol" space_group=F-43m magmom_total_mub_per_atom=0.000 vol_a3_per_cell=175.3 e_form_raw_ev_per_fu=0.292 pbc="T T T"
Mg 0.0000 0.0000 0.0000
Te -3.6798 7.6607 -0.7328
Te -3.5099 4.5258 -0.7164
Te -6.0890 5.9637 0.3501
Te -5.4373 5.9830 -2.7210
Y -7.0185 9.0500 -1.4325


4
Lattice="-2.2099 -1.8440 2.4433 1.4749 -3.2821 -1.1431 5.0280 0.5350 4.9515" Properties=species:S:1:pos:R:3 comment="YMg2Te, relaxed, DFT GGA-PBEsol" space_group=P4/mmm magmom_total_mub_per_atom=0.076 vol_a3_per_cell=100.9 e_form_raw_ev_per_fu=-1.289 pbc="T T T"
Mg 3.9251 0.4176 3.8654
Mg 1.1029 0.1173 1.0861
Te -0.3675 -2.5631 0.6501
Y 2.1465 -2.2956 3.1259


5
Lattice="5.3791 0.0000 0.0000 0.0000 5.3791 0.0000 0.0000 0.0000 5.3791" Properties=species:S:1:pos:R:3 comment="MgZnTe3, relaxed, DFT GGA-PBEsol" space_group=Pm-3m magmom_total_mub_per_atom=0.000 vol_a3_per_cell=155.6 e_form_raw_ev_per_fu=2.197 pbc="T T T"
Zn 2.6896 2.6896 2.6896
Te 0.0000 2.6896 0.0000
Te 0.0000 0.0000 2.6896
Te 2.6896 0.0000 0.0000
Mg 0.0000 0.0000 0.0000


4
Lattice="3.2193 0.0516 0.0000 -0.0575 3.2192 0.0000 0.0000 0.0000 7.8045" Properties=species:S:1:pos:R:3 comment="MgZn2Te, relaxed, DFT GGA-PBEsol" space_group=Cmm2 magmom_total_mub_per_atom=0.000 vol_a3_per_cell=80.9 e_form_raw_ev_per_fu=0.193 pbc="T T T"
Mg 0.0000 0.0000 4.1874
Te 1.5809 1.6354 1.9803
Zn 0.0000 0.0000 7.3440
Zn 1.5809 1.6354 5.9995


3
Lattice="-3.3916 -2.2277 -2.5953 -1.1088 -4.5955 0.9237 -4.2374 -1.0979 2.0100" Properties=species:S:1:pos:R:3 comment="MgZrTe, relaxed, DFT GGA-PBEsol" de_polymorph_ev_per_fu=1.31 space_group=F-43m magmom_total_mub_per_atom=0.001 vol_a3_per_cell=79.0 e_form_raw_ev_per_fu=0.462 pbc="T T T"
Mg 0.0000 0.0000 0.0000
Te -4.3689 -3.9605 0.1692
Zr -6.5534 -5.9408 0.2538